Computed, not measured: a geometry-optimized Ca5Ga2N4 structure at the GGA-PBE level of DFT.

Summary:
Total magnetization (Bohr magnetons per cell): 1.07
Electronic total energy (eV per atom): -5.264
ΔE_f (raw) (eV per atom): -0.78

Cell: 6.1074 6.1074 14.3254 Å, 90.00 90.00 132.86°
Closest atoms and distances in Å follow each position.
Sites, in units of the cell vectors:
Ca (0.0000, 0.0000, 0.0000)  4 N 2.42-2.46
Ca (0.1159, 0.8841, 0.6738)  4 N 2.46-2.52
Ca (0.2290, 0.7710, 0.4193)  4 N 2.40-2.47
Ca (0.2710, 0.7290, 0.9193)  4 N 2.40-2.47
Ca (0.3841, 0.6159, 0.1738)  4 N 2.46-2.52
Ca (0.5000, 0.5000, 0.5000)  4 N 2.42-2.46
Ca (0.6159, 0.3841, 0.8262)  4 N 2.46-2.52
Ca (0.7290, 0.2710, 0.0807)  4 N 2.40-2.47
Ca (0.7710, 0.2290, 0.5807)  4 N 2.40-2.47
Ca (0.8841, 0.1159, 0.3262)  4 N 2.46-2.52
Ga (0.0938, 0.9062, 0.1933)  2 N 1.97-2.02
Ga (0.4062, 0.5938, 0.6933)  2 N 1.97-2.02
Ga (0.5938, 0.4062, 0.3067)  2 N 1.97-2.02
Ga (0.9062, 0.0938, 0.8067)  2 N 1.97-2.02
N (0.0802, 0.9198, 0.8433)  1 Ga 2.02
N (0.1942, 0.8058, 0.0800)  1 Ga 1.97
N (0.3058, 0.6942, 0.5800)  1 Ga 1.97
N (0.4198, 0.5802, 0.3433)  1 Ga 2.02
N (0.5802, 0.4198, 0.6567)  1 Ga 2.02
N (0.6942, 0.3058, 0.4200)  1 Ga 1.97
N (0.8058, 0.1942, 0.9200)  1 Ga 1.97
N (0.9198, 0.0802, 0.1567)  1 Ga 2.02